Density functional theory data (PBE) for an optimized crystal structure of LiDy2Zn2Pt5.

As for the total DFT energy (no corrections): -0.3818 Ry/atom. The calculation puts the density of states at the Fermi level at 0.376 states/eV per atom. As for the total magnetization: 0.00 μB per cell. As for the mass density: 13.78 g/cm³.

It has space group P4/mbm (No. 127), with a = 9.599 Å, b = 9.599 Å, c = 3.761 Å, α = 90.00°, β = 90.00° and γ = 90.00°. The inequivalent atoms are Li at (0.000, 0.000, 0.000), Dy at (0.175, 0.325, 0.000), Zn at (0.124, 0.624, 0.000), Pt at (0.000, 0.500, 0.500) and Pt at (0.066, 0.800, 0.500).



Density functional theory data (PBE) for an optimized crystal structure of LiDyPuRu.

As for the total DFT energy (no corrections): -0.5602 Ry/atom. The calculation puts the density of states at the Fermi level at 2.447 states/eV per atom. As for the total magnetization: 22.28 μB per cell. As for the mass density: 10.34 g/cm³.

It has space group F-43m (No. 216), with a = 6.913 Å, b = 6.913 Å, c = 6.913 Å, α = 90.00°, β = 90.00° and γ = 90.00°. The inequivalent atoms are Li at (0.000, 0.000, 0.000), Dy at (0.250, 0.250, 0.250), Pu at (0.250, 0.250, 0.750) and Ru at (0.000, 0.000, 0.500).



Density functional theory data (PBE) for an optimized crystal structure of LiDy2PuS4.

The calculation puts the density of states at the Fermi level at 1.414 states/eV per atom. As for the total magnetization: 5.73 μB per cell. The calculation puts the energy relative to the elements, uncorrected at -1.857 eV per atom. As for the mass density: 6.94 g/cm³.

It has space group P2/m (No. 10), with a = 6.759 Å, b = 3.911 Å, c = 6.775 Å, α = 90.00°, β = 109.79° and γ = 90.00°. The inequivalent atoms are Li at (0.000, 0.000, 0.000), Dy at (0.000, 0.500, 0.500), Dy at (0.500, 0.000, 0.500), Pu at (0.500, 0.500, 0.000), S at (0.245, 0.500, 0.250) and S at (0.246, 0.000, 0.750).



Density functional theory data (PBE) for an optimized crystal structure of Li3DyPu2S6.

The calculation puts the density of states at the Fermi level at 1.410 states/eV per atom. As for the total magnetization: 20.00 μB per cell. The calculation puts the energy relative to the elements, uncorrected at -1.639 eV per atom. As for the mass density: 5.78 g/cm³.

It has space group C2/m (No. 12), with a = 6.838 Å, b = 11.841 Å, c = 6.542 Å, α = 90.00°, β = 110.39° and γ = 90.00°. The inequivalent atoms are Li at (0.000, 0.000, 0.000), Li at (0.000, 0.334, 0.000), Dy at (0.000, 0.500, 0.500), Pu at (0.000, 0.167, 0.500), S at (0.249, 0.500, 0.249) and S at (0.250, 0.166, 0.249).



Density functional theory data (PBE) for an optimized crystal structure of LiDy4Pu3S8.

The calculation puts the density of states at the Fermi level at 1.507 states/eV per atom. As for the total magnetization: 52.28 μB per cell. The calculation puts the energy relative to the elements, uncorrected at -1.883 eV per atom. As for the mass density: 8.01 g/cm³.

It has space group R-3m (No. 166, hexagonal axes), with a = 7.8377 Å, b = 7.8377 Å, c = 19.2324 Å, α = 90.00°, β = 90.00° and γ = 120.00°. The inequivalent atoms are Li at (0.0000, 0.0000, 0.0000), Dy at (0.0000, 0.0000, 0.5000), Dy at (0.0000, 0.5000, 0.5000), Pu at (0.0000, 0.5000, 0.0000), S at (0.0000, 0.0000, 0.2491) and S at (0.0049, 0.5024, 0.7505).



Density functional theory data (PBE) for an optimized crystal structure of Li3Dy2PuS6.

The calculation puts the density of states at the Fermi level at 0.975 states/eV per atom. As for the total magnetization: 10.00 μB per cell. The calculation puts the energy relative to the elements, uncorrected at -1.729 eV per atom. As for the mass density: 5.24 g/cm³.

It has space group C2/m (No. 12), with a = 6.822 Å, b = 11.814 Å, c = 6.559 Å, α = 90.00°, β = 110.26° and γ = 90.00°. The inequivalent atoms are Li at (0.000, 0.000, 0.000), Li at (0.000, 0.332, 0.000), Dy at (0.000, 0.167, 0.500), Pu at (0.000, 0.500, 0.500), S at (0.247, 0.000, 0.751) and S at (0.248, 0.168, 0.249).



Density functional theory data (PBE) for an optimized crystal structure of Li2DyPuS4.

The calculation puts the density of states at the Fermi level at 1.304 states/eV per atom. As for the total magnetization: 5.00 μB per cell. The calculation puts the energy relative to the elements, uncorrected at -1.683 eV per atom. As for the mass density: 5.50 g/cm³.

It has space group P2/m (No. 10), with a = 6.558 Å, b = 3.946 Å, c = 6.828 Å, α = 90.00°, β = 110.51° and γ = 90.00°. The inequivalent atoms are Li at (0.000, 0.000, 0.000), Li at (0.000, 0.500, 0.500), Dy at (0.500, 0.000, 0.500), Pu at (0.500, 0.500, 0.000), S at (0.248, 0.500, 0.252) and S at (0.250, 0.000, 0.749).



Density functional theory data (PBE) for an optimized crystal structure of LiDy3Pu3S8.

The calculation puts the density of states at the Fermi level at 2.089 states/eV per atom. As for the total magnetization: 49.84 μB per cell. The calculation puts the energy relative to the elements, uncorrected at -1.825 eV per atom. As for the mass density: 7.28 g/cm³.

It has space group R-3m (No. 166, hexagonal axes), with a = 7.8280 Å, b = 7.8280 Å, c = 19.1147 Å, α = 90.00°, β = 90.00° and γ = 120.00°. The inequivalent atoms are Li at (0.0000, 0.0000, 0.0000), Dy at (0.0000, 0.5000, 0.0000), Pu at (0.0000, 0.5000, 0.5000), S at (0.0000, 0.0000, 0.2508) and S at (0.0047, 0.5023, 0.7476).



Question: Among the records above, which one has the highest mass density?
Answer: LiDy2Zn2Pt5



Question: Among the records above, which one has the lowest mass density?
Answer: Li3Dy2PuS6



Question: Which of these has the lowest total magnetization?
Answer: LiDy2Zn2Pt5



Question: Among the records above, which one has the highest total magnetization?
Answer: LiDy4Pu3S8